Entry 1:
! Sr2InCl | the Alexandria database | meta-GGA SCAN | single point on PBEsol structure; values from VASP
&SYSTEM
  ibrav = 0, nat = 4, ntyp = 3
/
ATOMIC_SPECIES
Sr 87.62 Sr.upf
In 114.82 In.upf
Cl 35.45 Cl.upf
ATOMIC_POSITIONS angstrom
Sr -3.872 5.660 3.656
Sr -0.930 1.755 -0.114
In -2.037 -0.972 1.664
Cl -3.648 2.893 -0.605
CELL_PARAMETERS angstrom
-3.285 -1.787 -0.712
-0.790 -0.158 4.041
-4.012 7.572 -0.498
! **Magnetic moment**: 0.00 Bohr magnetons per cell
! **Raw total energy**: -22.753 eV/atom
! **Energy above the most stable polymorph in this dataset**: 0 meV per atom
! **Formation energy (no corrections)**: -5.099 eV per formula unit
! **V**: 33.654 Å³ per atom

***

Entry 2:
! SrInCl2 | the Alexandria database | meta-GGA SCAN | single point on PBEsol structure; values from VASP
&SYSTEM
  ibrav = 0, nat = 4, ntyp = 3
/
ATOMIC_SPECIES
Sr 87.62 Sr.upf
Cl 35.45 Cl.upf
In 114.82 In.upf
ATOMIC_POSITIONS angstrom
Sr -1.260 -3.378 -0.911
Cl 0.000 0.000 0.000
Cl -3.283 -1.470 0.172
In -1.254 -0.250 -2.696
CELL_PARAMETERS angstrom
-3.276 1.657 -1.613
0.769 -2.158 -3.779
-3.289 -4.598 1.957
! **Magnetic moment**: 0.72 Bohr magnetons per cell
! **Raw total energy**: -19.362 eV/atom
! **Energy above the most stable polymorph in this dataset**: 176 meV per atom
! **Formation energy (no corrections)**: -5.831 eV per formula unit
! **V**: 26.506 Å³ per atom

***

Entry 3:
! Sr2InCl | the Alexandria database | meta-GGA SCAN | single point on PBEsol structure; values from VASP
&SYSTEM
  ibrav = 0, nat = 4, ntyp = 3
/
ATOMIC_SPECIES
Sr 87.62 Sr.upf
Cl 35.45 Cl.upf
In 114.82 In.upf
ATOMIC_POSITIONS angstrom
Sr 0.000 0.000 0.000
Sr -2.258 3.351 0.322
Cl -1.797 0.553 -2.575
In -3.896 0.676 0.891
CELL_PARAMETERS angstrom
-0.159 3.228 -3.144
-3.436 -2.122 -2.005
-2.559 2.922 6.362
! **Magnetic moment**: 0.00 Bohr magnetons per cell
! **Raw total energy**: -22.394 eV/atom
! **Energy above the most stable polymorph in this dataset**: 360 meV per atom
! **Formation energy (no corrections)**: -3.660 eV per formula unit
! **V**: 34.243 Å³ per atom

***

Entry 4:
! SrInCl2 | the Alexandria database | meta-GGA SCAN | single point on PBEsol structure; values from VASP
&SYSTEM
  ibrav = 0, nat = 4, ntyp = 3
/
ATOMIC_SPECIES
Sr 87.62 Sr.upf
Cl 35.45 Cl.upf
In 114.82 In.upf
ATOMIC_POSITIONS angstrom
Sr -1.830 -3.385 3.778
Cl 0.806 -3.841 5.059
Cl 0.399 -1.901 2.504
In -2.433 -0.514 -0.003
CELL_PARAMETERS angstrom
-2.841 1.407 1.521
-2.024 -2.436 -1.527
1.205 -5.742 7.563
! **Magnetic moment**: 0.00 Bohr magnetons per cell
! **Raw total energy**: -19.538 eV/atom
! **Energy above the most stable polymorph in this dataset**: 0 meV per atom
! **Formation energy (no corrections)**: -6.533 eV per formula unit
! **V**: 29.587 Å³ per atom

***

Entry 5:
! SrInCl2 | the Alexandria database | meta-GGA SCAN | single point on PBEsol structure; values from VASP
&SYSTEM
  ibrav = 0, nat = 4, ntyp = 3
/
ATOMIC_SPECIES
Sr 87.62 Sr.upf
Cl 35.45 Cl.upf
In 114.82 In.upf
ATOMIC_POSITIONS angstrom
Sr 0.397 1.600 2.354
Cl -1.078 2.563 -0.018
Cl -1.078 -0.960 2.376
In 2.553 -0.003 -0.004
CELL_PARAMETERS angstrom
5.106 -0.005 -0.008
-2.156 5.126 -0.037
-2.156 -1.921 4.753
! **Magnetic moment**: 0.00 Bohr magnetons per cell
! **Raw total energy**: -19.349 eV/atom
! **Energy above the most stable polymorph in this dataset**: 189 meV per atom
! **Formation energy (no corrections)**: -5.778 eV per formula unit
! **V**: 30.967 Å³ per atom

***

Entry 6:
! TaInCl2 | the Alexandria database | meta-GGA SCAN | single point on PBEsol structure; values from VASP
&SYSTEM
  ibrav = 0, nat = 4, ntyp = 3
/
ATOMIC_SPECIES
Cl 35.45 Cl.upf
In 114.82 In.upf
Ta 180.95 Ta.upf
ATOMIC_POSITIONS angstrom
Cl 0.000 0.000 8.970
Cl 1.585 0.000 2.713
In 0.000 0.000 4.740
Ta 1.585 0.000 7.109
CELL_PARAMETERS angstrom
3.169 0.000 0.000
-1.585 2.859 0.000
0.000 0.000 9.413
! **Magnetic moment**: 0.00 Bohr magnetons per cell
! **Raw total energy**: -29.385 eV/atom
! **Energy above the most stable polymorph in this dataset**: 166 meV per atom
! **Formation energy (no corrections)**: -1.616 eV per formula unit
! **V**: 21.319 Å³ per atom

***

Entry 7:
! TaInCl2 | the Alexandria database | meta-GGA SCAN | single point on PBEsol structure; values from VASP
&SYSTEM
  ibrav = 0, nat = 4, ntyp = 3
/
ATOMIC_SPECIES
Cl 35.45 Cl.upf
In 114.82 In.upf
Ta 180.95 Ta.upf
ATOMIC_POSITIONS angstrom
Cl 1.069 0.825 2.129
Cl 4.769 5.807 7.527
In 2.919 3.316 4.828
Ta 0.000 0.000 0.000
CELL_PARAMETERS angstrom
-0.862 -0.592 2.917
1.905 -1.542 1.896
4.795 8.766 4.843
! **Magnetic moment**: 0.00 Bohr magnetons per cell
! **Raw total energy**: -29.551 eV/atom
! **Energy above the most stable polymorph in this dataset**: 0 meV per atom
! **Formation energy (no corrections)**: -2.280 eV per formula unit
! **V**: 22.781 Å³ per atom

***

Entry 8:
! TaInCl2 | the Alexandria database | meta-GGA SCAN | single point on PBEsol structure; values from VASP
&SYSTEM
  ibrav = 0, nat = 4, ntyp = 3
/
ATOMIC_SPECIES
Cl 35.45 Cl.upf
In 114.82 In.upf
Ta 180.95 Ta.upf
ATOMIC_POSITIONS angstrom
Cl 2.554 0.000 4.062
Cl 0.323 0.000 1.510
In 1.550 2.198 0.005
Ta -0.111 2.198 2.781
CELL_PARAMETERS angstrom
3.100 0.000 0.010
0.000 4.396 0.000
-0.223 0.000 5.562
! **Magnetic moment**: 0.00 Bohr magnetons per cell
! **Raw total energy**: -29.199 eV/atom
! **Energy above the most stable polymorph in this dataset**: 352 meV per atom
! **Formation energy (no corrections)**: -0.871 eV per formula unit
! **V**: 18.954 Å³ per atom